Cd17Ag12 | PBE | relaxed

Geometry as POSCAR:
```
Cd17Ag12
1.0
9.1652 0.0000 0.0000
-3.0550 8.6410 0.0000
-3.0550 -4.3205 7.4833
Ag Cd
12 17
direct
0.1908 0.8109 0.1908 Ag
0.3798 0.1891 0.3798 Ag
0.8092 0.0000 0.6202 Ag
0.6202 0.0000 0.8092 Ag
0.8092 0.6202 0.0000 Ag
0.6202 0.8092 0.0000 Ag
0.3798 0.3798 0.1891 Ag
0.1908 0.1908 0.8109 Ag
0.0000 0.6202 0.8092 Ag
0.0000 0.8092 0.6202 Ag
0.8109 0.1908 0.1908 Ag
0.1891 0.3798 0.3798 Ag
0.6926 0.2759 0.6926 Cd
0.4167 0.7241 0.4167 Cd
0.3074 0.0000 0.5833 Cd
0.5833 0.0000 0.3074 Cd
0.3074 0.5833 0.0000 Cd
0.5833 0.3074 0.0000 Cd
0.4167 0.4167 0.7241 Cd
0.6926 0.6926 0.2759 Cd
0.0000 0.5833 0.3074 Cd
0.0000 0.3074 0.5833 Cd
0.2759 0.6926 0.6926 Cd
0.7241 0.4167 0.4167 Cd
0.0000 0.3293 0.0000 Cd
0.6707 0.6707 0.6707 Cd
0.0000 0.0000 0.3293 Cd
0.3293 0.0000 0.0000 Cd
0.0000 0.0000 0.0000 Cd
```

Results
total DFT energy (no corrections): -1.720 eV/atom
density: 8.981 g/cm3
V: 592.6 Å³/cell
energy of formation: -4 meV per atom
crystal system: cubic
total magnetization: 0.0 μB/f.u.



IrCl | PBE | relaxed

Geometry as POSCAR:
```
IrCl
1.0
-8.1927 3.9837 -4.7790
-2.8898 -9.4344 -2.9104
-1.8898 -0.3345 2.9609
Ir Cl
8 8
direct
0.8586 0.3524 0.5000 Ir
0.1414 0.6476 0.5000 Ir
0.6476 0.8586 0.5000 Ir
0.3524 0.1414 0.5000 Ir
0.8861 0.5208 0.0000 Ir
0.1139 0.4792 0.0000 Ir
0.4792 0.8861 0.0000 Ir
0.5208 0.1139 0.0000 Ir
0.7480 0.6395 0.5000 Cl
0.2520 0.3605 0.5000 Cl
0.3605 0.7480 0.5000 Cl
0.6395 0.2520 0.5000 Cl
0.9036 0.2046 0.0000 Cl
0.0964 0.7954 0.0000 Cl
0.7954 0.9036 0.0000 Cl
0.2046 0.0964 0.0000 Cl
```

Results
total DFT energy (no corrections): -4.965 eV/atom
density: 8.099 g/cm3
energy relative to the elements, uncorrected: 0.779 eV per formula unit
V: 373.4 Å³/cell
energy above the most stable polymorph in this dataset: 255 meV per atom
crystal system: tetragonal
total magnetization: 0.0 μB/f.u.



Tb2Sm2Er5 | PBE | relaxed

Geometry as POSCAR:
```
Tb2Sm2Er5
1.0
3.5081 0.4263 -0.6284
0.5599 6.9448 -2.4054
0.7811 -2.4911 12.9470
Tb Sm Er
2 2 5
direct
0.6900 0.7310 0.1102 Tb
0.3100 0.2690 0.8898 Tb
0.9286 0.7960 0.6551 Sm
0.0714 0.2040 0.3449 Sm
0.7864 0.8171 0.3904 Er
0.2136 0.1829 0.6096 Er
0.6094 0.5933 0.8127 Er
0.3906 0.4067 0.1873 Er
0.0000 0.0000 0.0000 Er
```

Results
total DFT energy (no corrections): -4.471 eV/atom
density: 8.195 g/cm3
V: 294.8 Å³/cell
energy above the most stable polymorph in this dataset: 0 meV per atom
energy of formation: 142 meV per atom
crystal system: monoclinic
total magnetization: 0.0 μB/f.u.



NaMg5In6 | PBE | relaxed

Geometry as POSCAR:
```
NaMg5In6
1.0
8.6060 -0.2847 0.0000
2.3033 5.2112 0.0000
1.1516 2.6056 6.7821
Na Mg In
1 5 6
direct
0.0000 0.0000 0.0000 Na
0.5000 0.1202 0.7596 Mg
0.0000 0.3048 0.3905 Mg
0.5000 0.5000 0.0000 Mg
0.0000 0.6952 0.6095 Mg
0.5000 0.8798 0.2404 Mg
0.7036 0.1437 0.3687 In
0.2964 0.4877 0.3687 In
0.1996 0.3648 0.0000 In
0.8004 0.6352 0.0000 In
0.7036 0.5123 0.6313 In
0.2964 0.8563 0.6313 In
```

Results
total DFT energy (no corrections): -2.176 eV/atom
density: 4.484 g/cm3
V: 308.6 Å³/cell
energy above the most stable polymorph in this dataset: 57 meV per atom
energy of formation: -32 meV per atom
crystal system: monoclinic
total magnetization: 0.0 μB/f.u.



BaTa3Co | PBE | relaxed

Geometry as POSCAR:
```
BaTa3Co
1.0
-4.6039 -0.3447 1.9275
1.9502 -0.3659 4.5927
-0.1755 4.9777 0.4711
Co Ba Ta
1 1 3
direct
0.5000 0.5000 0.5000 Co
0.0000 0.0000 0.0000 Ba
0.0000 0.5000 0.0000 Ta
0.0000 0.0000 0.5000 Ta
0.5000 0.0000 0.0000 Ta
```

Results
total DFT energy (no corrections): -5.513 eV/atom
density: 9.801 g/cm3
V: 125.2 Å³/cell
energy above the most stable polymorph in this dataset: 2423 meV per atom
energy of formation: 3404 meV per atom
crystal system: cubic
total magnetization: 0.0 μB/f.u.



TeSeN2Cl | PBE | relaxed

Geometry as POSCAR:
```
TeSeN2Cl
1.0
-2.6559 2.4857 -1.4862
-2.5751 -1.1042 2.7552
2.0913 4.4755 3.7483
N Te Se Cl
2 1 1 1
direct
0.0000 0.5000 0.0000 N
0.5000 0.0000 0.0000 N
0.0000 0.0000 0.0000 Te
0.0000 0.0000 0.5000 Se
0.5000 0.5000 0.5000 Cl
```

Results
total DFT energy (no corrections): -3.641 eV/atom
density: 4.683 g/cm3
energy relative to the elements, uncorrected: 6.919 eV per formula unit
V: 95.8 Å³/cell
energy above the most stable polymorph in this dataset: 0 meV per atom
crystal system: tetragonal
total magnetization: 0.0 μB/f.u.